Density functional theory data (PBE-GGA) for LaHf2AsRu after structural relaxation.

abc: 4.9270 4.9270 5.5564
angles: 90.00 90.00 90.00
Space group P4/mmm (No. 123)
Asymmetric unit:
La 0.0000 0.0000 0.0000 (multiplicity 1)
Hf 0.0000 0.5000 0.5000 (multiplicity 2)
As 0.5000 0.5000 0.0000 (multiplicity 1)
Ru 0.0000 0.0000 0.5000 (multiplicity 1)

Properties
- D(E_F) (states/eV/atom) = 1.4429
- energy of formation from the pure elements (meV/atom) = 60